Entry 1:
Compound: SrNbIrPd2
Source: Alexandria via LeMat-Bulk
Functional: PBE-GGA
Structure: relaxed

a = 4.7546 Å, b = 4.7546 Å, c = 5.5243 Å
α = 90.00°, β = 90.00°, γ = 90.00°
Sites, in units of the cell vectors:
Sr  0.0000  0.0000  0.0000
Nb  0.0000  0.0000  0.5000
Ir  0.5000  0.5000  0.0000
Pd  0.0000  0.5000  0.5000
Pd  0.5000  0.0000  0.5000

Calculated values
* space-group type: P4/mmm
* ΔE_f: 138 kJ/mol of atoms


Entry 2:
Compound: TaNbIrPd
Source: Alexandria via LeMat-Bulk
Functional: PBE-GGA
Structure: relaxed

a = 4.0118 Å, b = 4.0216 Å, c = 4.0233 Å
α = 90.00°, β = 90.00°, γ = 90.00°
Sites, in units of the cell vectors:
Ta  0.0000  0.0000  0.0000
Nb  0.5000  0.0000  0.5000
Ir  0.5000  0.5000  0.0000
Pd  0.0000  0.5000  0.5000

Calculated values
* space-group type: Pmmm
* ΔE_f: -42 kJ/mol of atoms


Entry 3:
Compound: Ti5NbIr2Pd2
Source: Alexandria via LeMat-Bulk
Functional: PBE-GGA
Structure: relaxed

a = 10.0668 Å, b = 10.0668 Å, c = 3.3844 Å
α = 90.00°, β = 90.00°, γ = 90.00°
Sites, in units of the cell vectors:
Ti  0.0000  0.5000  0.0000
Ti  0.0956  0.1871  0.0000
Ti  0.1871  0.9044  0.0000
Ti  0.3129  0.4044  0.0000
Ti  0.4044  0.6871  0.0000
Ti  0.5000  0.0000  0.0000
Ti  0.5956  0.3129  0.0000
Ti  0.6871  0.5956  0.0000
Ti  0.8129  0.0956  0.0000
Ti  0.9044  0.8129  0.0000
Nb  0.0000  0.0000  0.5000
Nb  0.5000  0.5000  0.5000
Ir  0.1310  0.3690  0.5000
Ir  0.3690  0.8690  0.5000
Ir  0.6310  0.1310  0.5000
Ir  0.8690  0.6310  0.5000
Pd  0.1657  0.6657  0.5000
Pd  0.3343  0.1657  0.5000
Pd  0.6657  0.8343  0.5000
Pd  0.8343  0.3343  0.5000

Calculated values
* space-group type: P4/mbm
* ΔE_f: -22 kJ/mol of atoms


Entry 4:
Compound: YNb2IrPd
Source: Alexandria via LeMat-Bulk
Functional: PBE-GGA
Structure: relaxed

a = 4.9171 Å, b = 4.9171 Å, c = 4.8233 Å
α = 90.00°, β = 90.00°, γ = 90.00°
Sites, in units of the cell vectors:
Y  0.0000  0.0000  0.0000
Nb  0.0000  0.5000  0.0000
Nb  0.5000  0.0000  0.0000
Ir  0.0000  0.0000  0.5000
Pd  0.5000  0.5000  0.5000

Calculated values
* space-group type: P4/mmm
* ΔE_f: 191 kJ/mol of atoms


Entry 5:
Compound: Pm2NbSi4Ir3
Source: Alexandria via LeMat-Bulk
Functional: PBE-GGA
Structure: relaxed

a = 4.1554 Å, b = 4.1554 Å, c = 10.4099 Å
α = 90.00°, β = 90.00°, γ = 90.00°
Sites, in units of the cell vectors:
Pm  0.0000  0.5000  0.2388
Pm  0.5000  0.0000  0.7612
Nb  0.0000  0.0000  0.5000
Si  0.0000  0.0000  0.0000
Si  0.0000  0.5000  0.6474
Si  0.5000  0.0000  0.3526
Si  0.5000  0.5000  0.0000
Ir  0.0000  0.5000  0.8798
Ir  0.5000  0.0000  0.1202
Ir  0.5000  0.5000  0.5000

Calculated values
* space-group type: P-4m2
* raw formation energy: -884 meV/atom


Entry 6:
Compound: PmTaNbIr2
Source: Alexandria via LeMat-Bulk
Functional: PBE-GGA
Structure: relaxed

a = 6.1519 Å, b = 6.1519 Å, c = 6.1519 Å
α = 137.45°, β = 137.45°, γ = 61.75°
Sites, in units of the cell vectors:
Pm  0.0000  0.0000  0.0000
Ta  0.2500  0.7500  0.5000
Nb  0.7500  0.2500  0.5000
Ir  0.3746  0.3746  0.0000
Ir  0.6254  0.6254  0.0000

Calculated values
* space-group type: I-4m2
* ΔE_f: -56 kJ/mol of atoms


Entry 7:
Compound: Pr2NbIr
Source: Alexandria via LeMat-Bulk
Functional: PBE-GGA
Structure: relaxed

a = 10.6626 Å, b = 10.6626 Å, c = 10.6626 Å
α = 17.95°, β = 17.95°, γ = 17.95°
Sites, in units of the cell vectors:
Pr  0.0959  0.0959  0.0959
Pr  0.9041  0.9041  0.9041
Nb  0.0000  0.0000  0.0000
Ir  0.5000  0.5000  0.5000

Calculated values
* space-group type: R-3m
* ΔE_f: 57 kJ/mol of atoms


Entry 8:
Compound: PrZrNbIr2
Source: Alexandria via LeMat-Bulk
Functional: PBE-GGA
Structure: relaxed

a = 6.2477 Å, b = 6.2477 Å, c = 6.2477 Å
α = 137.46°, β = 137.46°, γ = 61.74°
Sites, in units of the cell vectors:
Pr  0.0000  0.0000  0.0000
Zr  0.2500  0.7500  0.5000
Nb  0.7500  0.2500  0.5000
Ir  0.3776  0.3776  0.0000
Ir  0.6224  0.6224  0.0000

Calculated values
* space-group type: I-4m2
* ΔE_f: -62 kJ/mol of atoms


Entry 9:
Compound: Nb3IrPt
Source: Alexandria via LeMat-Bulk
Functional: PBE-GGA
Structure: relaxed

a = 4.7968 Å, b = 4.7968 Å, c = 4.7968 Å
α = 90.00°, β = 90.00°, γ = 90.00°
Sites, in units of the cell vectors:
Nb  0.0000  0.0000  0.5000
Nb  0.0000  0.5000  0.0000
Nb  0.5000  0.0000  0.0000
Ir  0.0000  0.0000  0.0000
Pt  0.5000  0.5000  0.5000

Calculated values
* space-group type: Pm-3m
* energy above the most stable polymorph in this dataset: 0.0 meV/atom
* ΔE_f: 88 kJ/mol of atoms


Entry 10:
Compound: Nb4IrPt3
Source: Alexandria via LeMat-Bulk
Functional: PBE-GGA
Structure: relaxed

a = 2.7878 Å, b = 4.9260 Å, c = 9.8836 Å
α = 90.00°, β = 90.00°, γ = 90.00°
Sites, in units of the cell vectors:
Nb  0.0000  0.0000  0.0000
Nb  0.0000  0.0000  0.5000
Nb  0.0000  0.5000  0.2420
Nb  0.0000  0.5000  0.7580
Ir  0.5000  0.5000  0.0000
Pt  0.5000  0.0000  0.2538
Pt  0.5000  0.0000  0.7462
Pt  0.5000  0.5000  0.5000

Calculated values
* space-group type: Pmmm
* ΔE_f: -43 kJ/mol of atoms


Entry 11:
Compound: Nb3Ir2Pt
Source: Alexandria via LeMat-Bulk
Functional: PBE-GGA
Structure: relaxed

a = 2.8632 Å, b = 2.8632 Å, c = 11.9100 Å
α = 90.00°, β = 90.00°, γ = 90.00°
Sites, in units of the cell vectors:
Nb  0.0000  0.0000  0.0000
Nb  0.0000  0.0000  0.3272
Nb  0.0000  0.0000  0.6728
Ir  0.5000  0.5000  0.1663
Ir  0.5000  0.5000  0.8337
Pt  0.5000  0.5000  0.5000

Calculated values
* space-group type: P4/mmm
* ΔE_f: -55 kJ/mol of atoms


Entry 12:
Compound: NbIrPt2
Source: Alexandria via LeMat-Bulk
Functional: PBE-GGA
Structure: relaxed

a = 4.5024 Å, b = 4.5024 Å, c = 4.5024 Å
α = 60.00°, β = 60.00°, γ = 60.00°
Sites, in units of the cell vectors:
Nb  0.0000  0.0000  0.0000
Ir  0.5000  0.5000  0.5000
Pt  0.2500  0.2500  0.2500
Pt  0.7500  0.7500  0.7500

Calculated values
* space-group type: Fm-3m
* energy above the most stable polymorph in this dataset: 365.5 meV/atom
* ΔE_f: -18 kJ/mol of atoms


Entry 13:
Compound: Nb5Ir2Pt4
Source: Alexandria via LeMat-Bulk
Functional: PBE-GGA
Structure: relaxed

a = 6.3057 Å, b = 14.9530 Å, c = 3.9438 Å
α = 90.00°, β = 90.00°, γ = 90.00°
Sites, in units of the cell vectors:
Nb  0.0000  0.0000  0.0000
Nb  0.1056  0.4102  0.0000
Nb  0.2066  0.1963  0.0000
Nb  0.2934  0.6963  0.0000
Nb  0.3944  0.9102  0.0000
Nb  0.5000  0.5000  0.0000
Nb  0.6056  0.0898  0.0000
Nb  0.7066  0.3037  0.0000
Nb  0.7934  0.8037  0.0000
Nb  0.8944  0.5898  0.0000
Ir  0.0055  0.2949  0.5000
Ir  0.4945  0.7949  0.5000
Ir  0.5055  0.2051  0.5000
Ir  0.9945  0.7051  0.5000
Pt  0.0989  0.8753  0.5000
Pt  0.2005  0.5456  0.5000
Pt  0.2995  0.0456  0.5000
Pt  0.4011  0.3753  0.5000
Pt  0.5989  0.6247  0.5000
Pt  0.7005  0.9544  0.5000
Pt  0.7995  0.4544  0.5000
Pt  0.9011  0.1247  0.5000

Calculated values
* space-group type: Pbam
* ΔE_f: -43 kJ/mol of atoms


Entry 14:
Compound: Nb3IrPt
Source: Alexandria via LeMat-Bulk
Functional: PBE-GGA
Structure: relaxed

a = 4.8081 Å, b = 4.8081 Å, c = 4.8081 Å
α = 90.00°, β = 90.00°, γ = 90.00°
Sites, in units of the cell vectors:
Nb  0.0000  0.0000  0.5000
Nb  0.0000  0.5000  0.0000
Nb  0.5000  0.0000  0.0000
Ir  0.5000  0.5000  0.5000
Pt  0.0000  0.0000  0.0000

Calculated values
* space-group type: Pm-3m
* energy above the most stable polymorph in this dataset: 362.5 meV/atom
* ΔE_f: 123 kJ/mol of atoms


Entry 15:
Compound: NbIrPt2
Source: Alexandria via LeMat-Bulk
Functional: PBE-GGA
Structure: relaxed

a = 3.9452 Å, b = 3.9452 Å, c = 4.0418 Å
α = 90.00°, β = 90.00°, γ = 90.00°
Sites, in units of the cell vectors:
Nb  0.0000  0.0000  0.0000
Ir  0.5000  0.5000  0.0000
Pt  0.0000  0.5000  0.5000
Pt  0.5000  0.0000  0.5000

Calculated values
* space-group type: P4/mmm
* energy above the most stable polymorph in this dataset: 0.0 meV/atom
* ΔE_f: -54 kJ/mol of atoms


Entry 16:
Compound: NbIrPt2
Source: Alexandria via LeMat-Bulk
Functional: PBE-GGA
Structure: relaxed

a = 3.9528 Å, b = 3.9406 Å, c = 8.1582 Å
α = 90.00°, β = 90.00°, γ = 90.00°
Sites, in units of the cell vectors:
Nb  0.2500  0.0000  0.1384
Nb  0.7500  0.0000  0.8616
Ir  0.2500  0.5000  0.8785
Ir  0.7500  0.5000  0.1215
Pt  0.2500  0.0000  0.6376
Pt  0.2500  0.5000  0.3697
Pt  0.7500  0.0000  0.3624
Pt  0.7500  0.5000  0.6303

Calculated values
* space-group type: Pmma
* energy above the most stable polymorph in this dataset: 57.0 meV/atom
* ΔE_f: -48 kJ/mol of atoms


Entry 17:
Compound: Nb5Ir3Pt12
Source: Alexandria via LeMat-Bulk
Functional: PBE-GGA
Structure: relaxed

a = 12.8964 Å, b = 12.8964 Å, c = 12.8964 Å
α = 109.47°, β = 109.47°, γ = 109.47°
Sites, in units of the cell vectors:
Nb  0.0000  0.0000  0.0000
Nb  0.0000  0.0000  0.5000
Nb  0.0000  0.5000  0.0000
Nb  0.0000  0.5000  0.5000
Nb  0.1250  0.7500  0.8750
Nb  0.1250  0.8750  0.2500
Nb  0.2500  0.1250  0.8750
Nb  0.2500  0.6250  0.3750
Nb  0.3750  0.2500  0.6250
Nb  0.3750  0.6250  0.7500
Nb  0.5000  0.0000  0.0000
Nb  0.5000  0.0000  0.5000
Nb  0.5000  0.5000  0.0000
Nb  0.5000  0.5000  0.5000
Nb  0.6250  0.3750  0.2500
Nb  0.6250  0.7500  0.3750
Nb  0.7500  0.3750  0.6250
Nb  0.7500  0.8750  0.1250
Nb  0.8750  0.1250  0.7500
Nb  0.8750  0.2500  0.1250
Ir  0.1250  0.2500  0.3750
Ir  0.1250  0.3750  0.7500
Ir  0.2500  0.3750  0.1250
Ir  0.2500  0.8750  0.6250
Ir  0.3750  0.1250  0.2500
Ir  0.3750  0.7500  0.1250
Ir  0.6250  0.2500  0.8750
Ir  0.6250  0.8750  0.7500
Ir  0.7500  0.1250  0.3750
Ir  0.7500  0.6250  0.8750
Ir  0.8750  0.6250  0.2500
Ir  0.8750  0.7500  0.6250
Pt  0.0637  0.2323  0.1393
Pt  0.0637  0.3314  0.9244
Pt  0.0756  0.6393  0.4070
Pt  0.0756  0.9363  0.6686
Pt  0.0930  0.7323  0.6686
Pt  0.0930  0.8607  0.4244
Pt  0.1393  0.0637  0.2323
Pt  0.1393  0.5756  0.9070
Pt  0.1686  0.2323  0.5930
Pt  0.1686  0.4363  0.5756
Pt  0.2323  0.1393  0.0637
Pt  0.2323  0.5930  0.1686
Pt  0.2677  0.3314  0.9070
Pt  0.2677  0.4363  0.3607
Pt  0.3314  0.9070  0.2677
Pt  0.3314  0.9244  0.0637
Pt  0.3607  0.2677  0.4363
Pt  0.3607  0.5930  0.9244
Pt  0.4070  0.0756  0.6393
Pt  0.4070  0.8314  0.7677
Pt  0.4244  0.0930  0.8607
Pt  0.4244  0.8314  0.5637
Pt  0.4363  0.3607  0.2677
Pt  0.4363  0.5756  0.1686
Pt  0.5637  0.4244  0.8314
Pt  0.5637  0.6393  0.7323
Pt  0.5756  0.1686  0.4363
Pt  0.5756  0.9070  0.1393
Pt  0.5930  0.1686  0.2323
Pt  0.5930  0.9244  0.3607
Pt  0.6393  0.4070  0.0756
Pt  0.6393  0.7323  0.5637
Pt  0.6686  0.0756  0.9363
Pt  0.6686  0.0930  0.7323
Pt  0.7323  0.5637  0.6393
Pt  0.7323  0.6686  0.0930
Pt  0.7677  0.4070  0.8314
Pt  0.7677  0.8607  0.9363
Pt  0.8314  0.5637  0.4244
Pt  0.8314  0.7677  0.4070
Pt  0.8607  0.4244  0.0930
Pt  0.8607  0.9363  0.7677
Pt  0.9070  0.1393  0.5756
Pt  0.9070  0.2677  0.3314
Pt  0.9244  0.0637  0.3314
Pt  0.9244  0.3607  0.5930
Pt  0.9363  0.6686  0.0756
Pt  0.9363  0.7677  0.8607

Calculated values
* space-group type: Ia-3d
* ΔE_f: 24 kJ/mol of atoms


Entry 18:
Compound: NbIr3Pt
Source: Alexandria via LeMat-Bulk
Functional: PBE-GGA
Structure: relaxed

a = 4.7228 Å, b = 4.7228 Å, c = 4.7228 Å
α = 90.00°, β = 90.00°, γ = 90.00°
Sites, in units of the cell vectors:
Nb  0.0000  0.0000  0.0000
Ir  0.0000  0.5000  0.5000
Ir  0.5000  0.0000  0.5000
Ir  0.5000  0.5000  0.0000
Pt  0.5000  0.5000  0.5000

Calculated values
* space-group type: Pm-3m
* energy above the most stable polymorph in this dataset: 209.3 meV/atom
* ΔE_f: 188 kJ/mol of atoms


Entry 19:
Compound: Nb5IrPt4
Source: Alexandria via LeMat-Bulk
Functional: PBE-GGA
Structure: relaxed

a = 2.8319 Å, b = 2.8319 Å, c = 20.4703 Å
α = 90.00°, β = 90.00°, γ = 90.00°
Sites, in units of the cell vectors:
Nb  0.0000  0.0000  0.0000
Nb  0.0000  0.0000  0.2017
Nb  0.0000  0.0000  0.4041
Nb  0.0000  0.0000  0.5959
Nb  0.0000  0.0000  0.7983
Ir  0.5000  0.5000  0.5000
Pt  0.5000  0.5000  0.1006
Pt  0.5000  0.5000  0.3012
Pt  0.5000  0.5000  0.6988
Pt  0.5000  0.5000  0.8994

Calculated values
* space-group type: P4/mmm
* ΔE_f: -62 kJ/mol of atoms


Entry 20:
Compound: NbIrPt6
Source: Alexandria via LeMat-Bulk
Functional: PBE-GGA
Structure: relaxed

a = 4.8827 Å, b = 4.8827 Å, c = 7.9437 Å
α = 114.09°, β = 114.09°, γ = 47.75°
Sites, in units of the cell vectors:
Nb  0.0000  0.0000  0.0000
Ir  0.0000  0.0000  0.5000
Pt  0.2491  0.2491  0.8728
Pt  0.2517  0.2517  0.3762
Pt  0.5004  0.5004  0.2449
Pt  0.4996  0.4996  0.7551
Pt  0.7483  0.7483  0.6238
Pt  0.7509  0.7509  0.1272

Calculated values
* space-group type: C2/m
* ΔE_f: -32 kJ/mol of atoms